# PBE TbCuNiHg, optimized geometry
data_TbCuNiHg
_cell_length_a 6.586
_cell_length_b 6.586
_cell_length_c 6.586
_cell_angle_alpha 90.00
_cell_angle_beta 90.00
_cell_angle_gamma 90.00
_space_group_name_H-M_alt 'F -4 3 m'
_space_group_IT_number 216
_space_group_name_Hall 'F -4 2 3'
loop_
_atom_site_label
_atom_site_fract_x
_atom_site_fract_y
_atom_site_fract_z
_atom_site_occupancy
Tb1 0.000 0.000 0.000 1
Cu1 0.250 0.250 0.250 1
Ni1 0.250 0.250 0.750 1
Hg1 0.000 0.000 0.500 1
# - ΔH_f (0 K): -0.19 eV per atom